[1]
Density functional theory data (PBE) for MgTaTc2 after structural relaxation.

## Properties
Calculated total energy = -67.50 eV per cell

Geometry as CIF:
```
data_MgTaTc2
_symmetry_space_group_name_H-M 'C 1 2/m 1'
_symmetry_Int_Tables_number 12
_cell_length_a 5.7600
_cell_length_b 8.7374
_cell_length_c 2.7338
_cell_angle_alpha 90.00
_cell_angle_beta 111.25
_cell_angle_gamma 90.00
loop_
_symmetry_equiv_pos_as_xyz
'x,y,z'
'-x,-y,-z'
'-x,y,-z'
'x,-y,z'
'x+1/2,y+1/2,z'
'-x+1/2,-y+1/2,-z'
'-x+1/2,y+1/2,-z'
'x+1/2,-y+1/2,z'
loop_
_atom_site_label
_atom_site_fract_x
_atom_site_fract_y
_atom_site_fract_z
Mg1 0.0000 0.0000 0.0000
Ta1 0.0000 0.5000 0.0000
Tc1 0.2500 0.2500 0.5000
```

[2]
Density functional theory data (PBE) for Cs2SnAu after structural relaxation.

## Properties
Energy above the lowest structure with this stoichiometry = 10.95 kJ per mole of atoms

Geometry as CIF:
```
data_Cs2SnAu
_symmetry_space_group_name_H-M 'I -4 2 d'
_symmetry_Int_Tables_number 122
_symmetry_space_group_name_Hall 'I -4 2bw'
_cell_length_a 13.7755
_cell_length_b 13.7755
_cell_length_c 5.1929
_cell_angle_alpha 90.00
_cell_angle_beta 90.00
_cell_angle_gamma 90.00
loop_
_atom_site_label
_atom_site_fract_x
_atom_site_fract_y
_atom_site_fract_z
Cs1 0.0755 0.2500 0.1250
Sn1 0.0000 0.0000 0.5000
Au1 0.0000 0.0000 0.0000
```

[3]
Density functional theory data (PBE) for Te2HAu after structural relaxation.

## Properties
Energy above the lowest structure with this stoichiometry = 30.11 kJ per mole of atoms

Geometry as CIF:
```
data_Te2HAu
_symmetry_space_group_name_H-M 'R -3 m'
_symmetry_Int_Tables_number 166
_symmetry_space_group_name_Hall '-R 3 2"'
_cell_length_a 3.3100
_cell_length_b 3.3100
_cell_length_c 25.9792
_cell_angle_alpha 90.00
_cell_angle_beta 90.00
_cell_angle_gamma 120.00
loop_
_atom_site_label
_atom_site_fract_x
_atom_site_fract_y
_atom_site_fract_z
Te1 0.0000 0.0000 0.1035
H1 0.0000 0.0000 0.5000
Au1 0.0000 0.0000 0.0000
```